Entry 1:
Below is crystalline Ce2UCuS8 at its relaxed geometry, with properties calculated at the PBE level.

Values from the calculation:
**Electronic total energy**: -5.97 eV per atom
**Symmetry**: P-3m1 (164)
**Formation energy (no corrections)**: -0.94 eV/atom

a = 5.7652 Å, b = 5.7652 Å, c = 8.0253 Å
α = 90.00°, β = 90.00°, γ = 120.00°
Last column: nearest neighbours and their distance in Å.
Fractional positions:
Ce: 0.6667 0.3333 0.1405  1 S 2.56
Ce: 0.3333 0.6667 0.8595  1 S 2.56
U: 0.0000 0.0000 0.5000  6 S 2.96
Cu: 0.0000 0.0000 0.0000  6 S 2.33
S: 0.8298 0.6596 0.8018  1 Cu 2.33
S: 0.3404 0.1702 0.8018  1 Cu 2.33
S: 0.8298 0.1702 0.8018  1 Cu 2.33
S: 0.1702 0.3404 0.1982  1 Cu 2.33
S: 0.6596 0.8298 0.1982  1 Cu 2.33
S: 0.1702 0.8298 0.1982  1 Cu 2.33
S: 0.6667 0.3333 0.4589  1 Ce 2.56
S: 0.3333 0.6667 0.5411  1 Ce 2.56

=====

Entry 2:
Below is crystalline Ce4Cu5Sb8 at its relaxed geometry, with properties calculated at the PBE level.

Values from the calculation:
**Electronic total energy**: -5.02 eV per atom
**Symmetry**: P4mm (99)
**Formation energy (no corrections)**: -0.48 eV/atom

a = 4.4824 Å, b = 4.4824 Å, c = 20.5457 Å
α = 90.00°, β = 90.00°, γ = 90.00°
Last column: nearest neighbours and their distance in Å.
Fractional positions:
Sb: 0.7500 0.2500 0.0342  2 Cu 2.57
Sb: 0.7500 0.2500 0.5009  4 Sb 3.17, 4 Ce 3.31-3.32
Sb: 0.2500 0.7500 0.0342  2 Cu 2.57
Sb: 0.2500 0.7500 0.5009  4 Sb 3.17, 4 Ce 3.31-3.32
Sb: 0.7500 0.7500 0.1926  4 Cu 2.71
Sb: 0.7500 0.7500 0.6621  4 Cu 2.70
Sb: 0.2500 0.2500 0.3404  4 Cu 2.70
Sb: 0.2500 0.2500 0.8124  4 Cu 2.75
Ce: 0.7500 0.7500 0.3819  4 Cu 3.25, 8 Sb 3.28-3.32
Ce: 0.7500 0.7500 0.8386  5 Cu 2.77-3.09
Ce: 0.2500 0.2500 0.1538  4 Cu 3.23, 8 Sb 3.27-3.33
Ce: 0.2500 0.2500 0.6197  4 Cu 3.26, 8 Sb 3.29-3.31
Cu: 0.7500 0.2500 0.2671  4 Sb 2.70-2.71
Cu: 0.7500 0.2500 0.7352  4 Sb 2.70-2.75
Cu: 0.2500 0.7500 0.2671  4 Sb 2.70-2.71
Cu: 0.2500 0.7500 0.7352  4 Sb 2.70-2.75
Cu: 0.7500 0.7500 0.9734  4 Sb 2.57, 1 Ce 2.77

=====

Entry 3:
Below is crystalline Ce2CuSb at its relaxed geometry, with properties calculated at the PBE level.

Values from the calculation:
**Electronic total energy**: -5.45 eV per atom
**Symmetry**: P4/mmm (123)
**Formation energy (no corrections)**: -0.42 eV/atom

a = 4.0636 Å, b = 5.0102 Å, c = 5.0102 Å
α = 90.00°, β = 90.00°, γ = 90.00°
Last column: nearest neighbours and their distance in Å.
Fractional positions:
Sb: 0.5000 0.0000 0.0000  8 Ce 3.23, 4 Cu 3.54
Cu: 0.5000 0.5000 0.5000  8 Ce 3.23, 4 Sb 3.54
Ce: 0.0000 0.0000 0.5000  4 Cu 3.23, 4 Sb 3.23, 4 Ce 3.54
Ce: 0.0000 0.5000 0.0000  4 Sb 3.23, 4 Cu 3.23, 4 Ce 3.54

=====

Entry 4:
Below is crystalline CeCuSb at its relaxed geometry, with properties calculated at the PBE level.

Values from the calculation:
**Electronic total energy**: -5.07 eV per atom
**Symmetry**: P6_222 (180)
**Formation energy (no corrections)**: -0.35 eV/atom

a = 6.5627 Å, b = 6.5627 Å, c = 11.3234 Å
α = 90.00°, β = 90.00°, γ = 120.00°
Last column: nearest neighbours and their distance in Å.
Fractional positions:
Ce: 0.5000 0.0000 0.6667  4 Cu 2.99, 6 Sb 3.25-3.32
Ce: 0.0000 0.0000 0.5000  4 Cu 3.50, 4 Sb 3.55, 6 Ce 3.77-3.79
Ce: 0.0000 0.0000 0.8333  4 Cu 3.50, 4 Sb 3.55, 6 Ce 3.77-3.79
Ce: 0.0000 0.0000 0.1667  4 Cu 3.50, 4 Sb 3.55, 6 Ce 3.77-3.79
Ce: 0.5000 0.5000 0.0000  4 Cu 2.99, 6 Sb 3.25-3.32
Ce: 0.0000 0.5000 0.3333  4 Cu 2.99, 6 Sb 3.25-3.32
Cu: 0.3937 0.7873 0.1667  1 Cu 2.42, 4 Sb 2.68-2.70
Cu: 0.7873 0.3937 0.8333  1 Cu 2.42, 4 Sb 2.68-2.70
Cu: 0.6063 0.3937 0.5000  1 Cu 2.42, 4 Sb 2.68-2.70
Cu: 0.6063 0.2127 0.1667  1 Cu 2.42, 4 Sb 2.68-2.70
Cu: 0.3937 0.6063 0.5000  1 Cu 2.42, 4 Sb 2.68-2.70
Cu: 0.2127 0.6063 0.8333  1 Cu 2.42, 4 Sb 2.68-2.70
Sb: 0.5000 0.5000 0.2867  4 Cu 2.68-2.70
Sb: 0.0000 0.5000 0.6201  4 Cu 2.68-2.70
Sb: 0.5000 0.5000 0.7133  4 Cu 2.68-2.70
Sb: 0.0000 0.5000 0.0466  4 Cu 2.68-2.70
Sb: 0.5000 0.0000 0.9534  4 Cu 2.68-2.70
Sb: 0.5000 0.0000 0.3799  4 Cu 2.68-2.70

=====

Entry 5:
Below is crystalline Ce3Cu3Sb4 at its relaxed geometry, with properties calculated at the PBE level.

Values from the calculation:
**Electronic total energy**: -5.36 eV per atom
**Symmetry**: I-43d (220)
**Formation energy (no corrections)**: -0.70 eV/atom

a = 8.4366 Å, b = 8.4366 Å, c = 8.4366 Å
α = 109.47°, β = 109.47°, γ = 109.47°
Last column: nearest neighbours and their distance in Å.
Fractional positions:
Ce: 0.8750 0.2500 0.1250  4 Cu 2.98
Ce: 0.6250 0.7500 0.3750  4 Cu 2.98
Ce: 0.2500 0.1250 0.8750  4 Cu 2.98
Ce: 0.7500 0.3750 0.6250  4 Cu 2.98
Ce: 0.1250 0.8750 0.2500  4 Cu 2.98
Ce: 0.3750 0.6250 0.7500  4 Cu 2.98
Cu: 0.3750 0.2500 0.6250  4 Sb 2.71, 4 Ce 2.98
Cu: 0.1250 0.7500 0.8750  4 Sb 2.71, 4 Ce 2.98
Cu: 0.2500 0.6250 0.3750  4 Sb 2.71, 4 Ce 2.98
Cu: 0.7500 0.8750 0.1250  4 Sb 2.71, 4 Ce 2.98
Cu: 0.6250 0.3750 0.2500  4 Sb 2.71, 4 Ce 2.98
Cu: 0.8750 0.1250 0.7500  4 Sb 2.71, 4 Ce 2.98
Sb: 0.6626 0.5000 0.0000  3 Cu 2.71
Sb: 0.5000 0.0000 0.6626  3 Cu 2.71
Sb: 0.0000 0.6626 0.5000  3 Cu 2.71
Sb: 0.8374 0.8374 0.8374  3 Cu 2.71
Sb: 0.5000 0.0000 0.1626  3 Cu 2.71
Sb: 0.1626 0.5000 0.0000  3 Cu 2.71
Sb: 0.0000 0.1626 0.5000  3 Cu 2.71
Sb: 0.3374 0.3374 0.3374  3 Cu 2.71

=====

Entry 6:
Below is crystalline CeCuSb at its relaxed geometry, with properties calculated at the PBE level.

Values from the calculation:
**Electronic total energy**: -5.34 eV per atom
**Symmetry**: P3m1 (156)
**Formation energy (no corrections)**: -0.62 eV/atom

a = 4.2508 Å, b = 4.3966 Å, c = 4.3966 Å
α = 120.00°, β = 90.00°, γ = 90.00°
Last column: nearest neighbours and their distance in Å.
Fractional positions:
Sb: 0.1449 0.0000 0.0000  3 Cu 2.55
Cu: 0.2052 0.3333 0.6667  3 Sb 2.55
Ce: 0.6499 0.6667 0.3333  6 Cu 3.17-3.47, 6 Sb 3.30-3.32

=====

Entry 7:
Below is crystalline Ce2Cu3Sb4 at its relaxed geometry, with properties calculated at the PBE level.

Values from the calculation:
**Electronic total energy**: -5.01 eV per atom
**Symmetry**: P4mm (99)
**Formation energy (no corrections)**: -0.50 eV/atom

a = 4.5026 Å, b = 4.5026 Å, c = 10.0704 Å
α = 90.00°, β = 90.00°, γ = 90.00°
Last column: nearest neighbours and their distance in Å.
Fractional positions:
Sb: 0.5000 0.0000 0.4841  2 Cu 2.64
Sb: 0.0000 0.5000 0.4841  2 Cu 2.64
Sb: 0.5000 0.5000 0.8682  5 Cu 2.48-2.63
Sb: 0.0000 0.0000 0.1548  4 Cu 2.72
Cu: 0.5000 0.0000 0.0030  4 Sb 2.63-2.72
Cu: 0.0000 0.5000 0.0030  4 Sb 2.63-2.72
Cu: 0.5000 0.5000 0.6218  5 Sb 2.48-2.64
Ce: 0.5000 0.5000 0.2377  4 Cu 3.26, 8 Sb 3.29-3.35
Ce: 0.0000 0.0000 0.7434  8 Cu 3.41-3.45, 8 Sb 3.42-3.45

=====

Entry 8:
Below is crystalline CeCu3Sb2 at its relaxed geometry, with properties calculated at the PBE level.

Values from the calculation:
**Electronic total energy**: -4.72 eV per atom
**Symmetry**: C2/m (12)
**Formation energy (no corrections)**: -0.31 eV/atom

a = 4.2119 Å, b = 8.2850 Å, c = 8.8436 Å
α = 55.11°, β = 76.22°, γ = 75.27°
Last column: nearest neighbours and their distance in Å.
Fractional positions:
Ce: 0.1328 0.7843 0.9501  7 Sb 3.21-3.31, 1 Cu 3.56
Ce: 0.8672 0.2157 0.0499  7 Sb 3.21-3.31, 1 Cu 3.56
Cu: 0.6990 0.0840 0.5179  3 Cu 2.53-2.61, 4 Sb 2.65-2.82
Cu: 0.0534 0.3115 0.5817  3 Cu 2.55-2.61, 3 Sb 2.59-2.64
Cu: 0.4126 0.5436 0.6312  4 Cu 2.53-2.70, 3 Sb 2.58-2.74
Cu: 0.5874 0.4564 0.3688  4 Cu 2.53-2.70, 3 Sb 2.58-2.74
Cu: 0.9466 0.6885 0.4183  3 Cu 2.55-2.61, 3 Sb 2.59-2.64
Cu: 0.3010 0.9160 0.4821  3 Cu 2.53-2.61, 4 Sb 2.65-2.82
Sb: 0.5252 0.1621 0.7876  4 Cu 2.58-2.71
Sb: 0.4748 0.8379 0.2124  4 Cu 2.58-2.71
Sb: 0.2076 0.3095 0.2753  6 Cu 2.64-2.82
Sb: 0.7924 0.6905 0.7247  6 Cu 2.64-2.82

=====

Entry 9:
Below is crystalline CeCuSb at its relaxed geometry, with properties calculated at the PBE level.

Values from the calculation:
**Electronic total energy**: -4.99 eV per atom
**Symmetry**: I4mm (107)
**Formation energy (no corrections)**: -0.27 eV/atom

a = 4.0953 Å, b = 4.0953 Å, c = 5.2642 Å
α = 112.89°, β = 112.89°, γ = 90.00°
Last column: nearest neighbours and their distance in Å.
Fractional positions:
Sb: 0.9617 0.9617 0.9234  1 Cu 2.77, 1 Ce 3.08
Ce: 0.6116 0.6116 0.2232  5 Cu 2.94-3.24, 5 Sb 3.08-3.18
Cu: 0.2767 0.2767 0.5534  1 Sb 2.77, 1 Ce 2.94

=====

Entry 10:
Below is crystalline CeSc2Cu at its relaxed geometry, with properties calculated at the PBE level.

Values from the calculation:
**Polymorph energy (0 for the lowest one)**: 149.8 meV per atom
**Electronic total energy**: -5.61 eV per atom
**Energy of formation from the pure elements**: 0.068 eV/atom
**Symmetry**: R-3m (166)

a = 3.3013 Å, b = 3.3013 Å, c = 9.6938 Å
α = 80.20°, β = 80.20°, γ = 60.00°
Last column: nearest neighbours and their distance in Å.
Fractional positions:
Sc: 0.2632 0.2632 0.2104  3 Cu 2.76
Sc: 0.7368 0.7368 0.7896  3 Cu 2.76
Cu: 0.0000 0.0000 0.0000  6 Sc 2.76
Ce: 0.5000 0.5000 0.5000  6 Ce 3.30, 6 Sc 3.35

=====

Entry 11:
Below is crystalline CeScCu2 at its relaxed geometry, with properties calculated at the PBE level.

Values from the calculation:
**Polymorph energy (0 for the lowest one)**: 0.0 meV per atom
**Electronic total energy**: -5.27 eV per atom
**Energy of formation from the pure elements**: -0.158 eV/atom
**Symmetry**: P4/mmm (123)

a = 3.2704 Å, b = 3.2704 Å, c = 7.1792 Å
α = 90.00°, β = 90.00°, γ = 90.00°
Last column: nearest neighbours and their distance in Å.
Fractional positions:
Sc: 0.5000 0.5000 0.0000  8 Cu 2.77
Cu: 0.0000 0.0000 0.7888  4 Sc 2.77, 1 Cu 3.03
Cu: 0.0000 0.0000 0.2112  4 Sc 2.77, 1 Cu 3.03
Ce: 0.5000 0.5000 0.5000  8 Cu 3.11, 4 Ce 3.27

=====

Entry 12:
Below is crystalline CeScCu2 at its relaxed geometry, with properties calculated at the PBE level.

Values from the calculation:
**Polymorph energy (0 for the lowest one)**: 47.0 meV per atom
**Electronic total energy**: -5.23 eV per atom
**Energy of formation from the pure elements**: -0.111 eV/atom
**Symmetry**: Fm-3m (225)

a = 4.8188 Å, b = 4.8188 Å, c = 4.8188 Å
α = 60.00°, β = 60.00°, γ = 60.00°
Last column: nearest neighbours and their distance in Å.
Fractional positions:
Sc: 0.5000 0.5000 0.5000  8 Cu 2.95
Cu: 0.2500 0.2500 0.2500  4 Ce 2.95, 4 Sc 2.95
Cu: 0.7500 0.7500 0.7500  4 Ce 2.95, 4 Sc 2.95
Ce: 0.0000 0.0000 0.0000  8 Cu 2.95

=====

Repeat the twelfth record exactly.
Below is crystalline CeScCu2 at its relaxed geometry, with properties calculated at the PBE level.

Values from the calculation:
**Polymorph energy (0 for the lowest one)**: 47.0 meV per atom
**Electronic total energy**: -5.23 eV per atom
**Energy of formation from the pure elements**: -0.111 eV/atom
**Symmetry**: Fm-3m (225)

a = 4.8188 Å, b = 4.8188 Å, c = 4.8188 Å
α = 60.00°, β = 60.00°, γ = 60.00°
Last column: nearest neighbours and their distance in Å.
Fractional positions:
Sc: 0.5000 0.5000 0.5000  8 Cu 2.95
Cu: 0.2500 0.2500 0.2500  4 Ce 2.95, 4 Sc 2.95
Cu: 0.7500 0.7500 0.7500  4 Ce 2.95, 4 Sc 2.95
Ce: 0.0000 0.0000 0.0000  8 Cu 2.95